1.
This record from Alexandria describes Mg2Co5SiB2 after structural relaxation. The functional is PBE.

Geometry as extended XYZ:
```
20
Lattice="8.736 0.000 0.000 0.000 8.736 0.000 0.000 0.000 2.740" Properties=species:S:1:pos:R:3 pbc="T T T"
Mg 1.533 2.835 0.000
Mg 2.835 7.202 0.000
Mg 5.901 1.533 0.000
Mg 7.202 5.901 0.000
Co 0.000 4.368 1.370
Co 0.602 6.872 1.370
Co 1.864 0.602 1.370
Co 2.504 4.970 1.370
Co 3.766 2.504 1.370
Co 4.368 0.000 1.370
Co 4.970 6.232 1.370
Co 6.232 3.766 1.370
Co 6.872 8.134 1.370
Co 8.134 1.864 1.370
Si 0.000 0.000 0.000
Si 4.368 4.368 0.000
B 1.074 5.442 0.000
B 3.294 1.074 0.000
B 5.442 7.662 0.000
B 7.662 3.294 0.000
```

Properties
Formation energy (no corrections) (meV per atom): -385
Space-group type: No. 127
Total magnetic moment (μB per cell): 0.00
DOS at the Fermi energy (states/eV/f.u.): 3.32
VASP energy (eV/cell): -122.70
Calculated density (Mg/m³): 6.241

***

2.
This record from Alexandria describes Ac2BiTe after structural relaxation. The functional is PBE.

Geometry as extended XYZ:
```
8
Lattice="4.820 0.000 0.000 0.000 6.799 0.000 0.000 0.000 9.598" Properties=species:S:1:pos:R:3 pbc="T T T"
Ac 1.205 1.700 1.179
Ac 1.205 1.700 6.007
Ac 3.615 5.100 3.592
Ac 3.615 5.100 8.419
Bi 1.205 5.100 1.222
Bi 3.615 1.700 8.376
Te 1.205 5.100 5.992
Te 3.615 1.700 3.606
```

Properties
Formation energy (no corrections) (meV per atom): -1273
Space-group type: No. 59
Total magnetic moment (μB per cell): 0.00
DOS at the Fermi energy (states/eV/f.u.): 1.49
VASP energy (eV/cell): -40.66
Calculated density (Mg/m³): 8.347

***

3.
This record from Alexandria describes ErTmInRu after structural relaxation. The functional is PBE.

Geometry as extended XYZ:
```
4
Lattice="0.000 3.539 3.539 3.539 0.000 3.539 3.539 3.539 0.000" Properties=species:S:1:pos:R:3 pbc="T T T"
Er 0.000 0.000 0.000
Tm 3.539 3.539 3.539
In 1.769 1.769 1.769
Ru 5.308 5.308 5.308
```

Properties
Space-group type: No. 216
Total magnetic moment (μB per cell): 0.00
DOS at the Fermi energy (states/eV/f.u.): 2.95
Calculated formation energy (meV per atom): -367
VASP energy (eV/cell): -22.52
Calculated density (Mg/m³): 10.343

***

4.
This record from Alexandria describes Gd3TmC after structural relaxation. The functional is PBE.

Geometry as extended XYZ:
```
5
Lattice="5.103 0.000 0.000 0.000 5.103 0.000 0.000 0.000 5.103" Properties=species:S:1:pos:R:3 pbc="T T T"
Gd 0.000 0.000 2.552
Gd 0.000 2.552 0.000
Gd 2.552 0.000 0.000
Tm 2.552 2.552 2.552
C 0.000 0.000 0.000
```

Properties
Space-group type: No. 221
Total magnetic moment (μB per cell): 23.11
DOS at the Fermi energy (states/eV/f.u.): 7.00
Calculated formation energy (meV per atom): 3
VASP energy (eV/cell): -55.92
Calculated density (Mg/m³): 8.156